No. 1
## Cs3Tl2Pb8 (GGA-PBE)

Data for an optimized crystal structure of Cs3Tl2Pb8.

Summary:
E_form = -0.10 eV per formula unit

Cell: 6.9934 6.9934 40.7151 Å, 90.00 90.00 120.00°
Space group R-3m (No. 166, hexagonal axes)
Asymmetric unit:
Cs: 0.0000 0.0000 0.0000 (multiplicity 3)
Cs: 0.0000 0.0000 0.2458 (multiplicity 6)
Tl: 0.0000 0.0000 0.4113 (multiplicity 6)
Pb: 0.0000 0.0000 0.3389 (multiplicity 6)
Pb: 0.0118 0.5059 0.8036 (multiplicity 18)



No. 2
## CsTlPb2 (GGA-PBE)

Data for an optimized crystal structure of CsTlPb2.

Summary:
E_form = 0.49 eV per formula unit

Cell: 8.340 8.340 8.340 Å, 90.00 90.00 90.00°
Space group Fm-3m (No. 225)
Asymmetric unit:
Cs: 0.000 0.000 0.000 (multiplicity 4)
Tl: 0.000 0.000 0.500 (multiplicity 4)
Pb: 0.250 0.250 0.250 (multiplicity 8)



No. 3
## CsTl2Pb8 (GGA-PBE)

Data for an optimized crystal structure of CsTl2Pb8.

Summary:
E_form = 0.71 eV per formula unit

Cell: 5.769 5.769 12.981 Å, 90.00 90.00 90.00°
Space group P4/mmm (No. 123)
Asymmetric unit:
Cs: 0.000 0.000 0.000 (multiplicity 1)
Tl: 0.000 0.000 0.355 (multiplicity 2)
Pb: 0.000 0.500 0.230 (multiplicity 4)
Pb: 0.000 0.500 0.500 (multiplicity 2)
Pb: 0.500 0.500 0.354 (multiplicity 2)



No. 4
## CsTl5Pb4 (GGA-PBE)

Data for an optimized crystal structure of CsTl5Pb4.

Summary:
E_form = 0.67 eV per formula unit

Cell: 3.499 3.499 28.770 Å, 90.00 90.00 90.00°
Space group P4/mmm (No. 123)
Asymmetric unit:
Cs: 0.000 0.000 0.000 (multiplicity 1)
Tl: 0.500 0.500 0.108 (multiplicity 2)
Tl: 0.500 0.500 0.387 (multiplicity 2)
Tl: 0.500 0.500 0.500 (multiplicity 1)
Pb: 0.000 0.000 0.188 (multiplicity 2)
Pb: 0.000 0.000 0.302 (multiplicity 2)



No. 5
## Cs2TlPb (GGA-PBE)

Data for an optimized crystal structure of Cs2TlPb.

Summary:
E_form = -0.43 eV per formula unit

Cell: 12.437 9.297 6.998 Å, 90.00 90.00 90.00°
Space group Cmcm (No. 63)
Asymmetric unit:
Cs: 0.170 0.152 0.250 (multiplicity 8)
Tl: 0.000 0.500 0.000 (multiplicity 4)
Pb: 0.000 0.228 0.750 (multiplicity 4)



No. 6
## CsTl2Pb4 (GGA-PBE)

Data for an optimized crystal structure of CsTl2Pb4.

Summary:
E_form = -0.32 eV per formula unit

Cell: 8.761 8.761 6.467 Å, 90.00 90.00 90.00°
Space group I4/mmm (No. 139)
Asymmetric unit:
Cs: 0.000 0.000 0.000 (multiplicity 2)
Tl: 0.000 0.500 0.250 (multiplicity 4)
Pb: 0.190 0.190 0.500 (multiplicity 8)



No. 7
## Cs2Tl5Pb12 (GGA-PBE)

Data for an optimized crystal structure of Cs2Tl5Pb12.

Summary:
E_form = -0.87 eV per formula unit

Cell: 11.6258 11.6258 17.0669 Å, 90.00 90.00 120.00°
Space group R-3m (No. 166, hexagonal axes)
Asymmetric unit:
Cs: 0.0000 0.0000 0.1592 (multiplicity 6)
Tl: 0.0000 0.0000 0.3987 (multiplicity 6)
Tl: 0.0000 0.5000 0.0000 (multiplicity 9)
Pb: 0.0000 0.2904 0.5000 (multiplicity 18)
Pb: 0.0068 0.5034 0.6498 (multiplicity 18)



No. 8
## Cs2Tl2Pb (GGA-PBE)

Data for an optimized crystal structure of Cs2Tl2Pb.

Summary:
E_form = -0.19 eV per formula unit

Cell: 8.316 8.316 6.542 Å, 90.00 90.00 90.00°
Space group P4/mbm (No. 127)
Asymmetric unit:
Cs: 0.184 0.316 0.000 (multiplicity 4)
Tl: 0.132 0.632 0.500 (multiplicity 4)
Pb: 0.000 0.000 0.500 (multiplicity 2)